Entry from OQMD: a relaxed structure of BaDyCuSeS2 (PBE-GGA).

```
BaDyCuSeS2
1.0
4.194 5.837 -1.049
-6.610 -2.606 1.508
2.258 0.226 10.284
Ba Cu Dy S Se
2 2 2 4 2
direct
0.758 0.242 0.250
0.242 0.758 0.750
0.470 0.530 0.250
0.530 0.470 0.750
0.000 0.000 0.000
0.000 0.000 0.500
0.374 0.626 0.068
0.374 0.626 0.432
0.626 0.374 0.568
0.626 0.374 0.932
0.077 0.923 0.250
0.923 0.077 0.750
```

density	5.641	g/cm3
magnetic moment	0.01	μB per cell
total energy	-5.32	eV/atom
symmetry	Cmcm, No. 63

=====

Entry from OQMD: a relaxed structure of BaDyCuTe2Se (PBE-GGA).

```
BaDyCuTe2Se
1.0
2.156 -7.483 0.000
2.156 7.483 0.000
0.000 0.000 10.861
Ba Cu Dy Se Te
2 2 2 2 4
direct
0.269 0.731 0.250
0.731 0.269 0.750
0.528 0.472 0.250
0.472 0.528 0.750
0.000 0.000 0.000
0.000 0.000 0.500
0.937 0.063 0.250
0.063 0.937 0.750
0.640 0.360 0.060
0.640 0.360 0.440
0.360 0.640 0.560
0.360 0.640 0.940
```

density	6.612	g/cm3
magnetic moment	0.01	μB per cell
total energy	-4.69	eV/atom
symmetry	Cmcm, No. 63

=====

Entry from OQMD: a relaxed structure of BaDyCuTeSe2 (PBE-GGA).

```
BaDyCuTeSe2
1.0
2.101 -7.378 0.000
2.101 7.378 0.000
0.000 0.000 11.096
Ba Cu Dy Se Te
2 2 2 4 2
direct
0.771 0.229 0.250
0.229 0.771 0.750
0.473 0.527 0.250
0.527 0.473 0.750
0.000 0.000 0.000
0.000 0.000 0.500
0.375 0.625 0.067
0.375 0.625 0.433
0.625 0.375 0.567
0.625 0.375 0.933
0.083 0.917 0.250
0.917 0.083 0.750
```

density	6.264	g/cm3
magnetic moment	0.01	μB per cell
total energy	-4.84	eV/atom
symmetry	Cmcm, No. 63

=====

Entry from OQMD: a relaxed structure of BaDyCuSi3 (PBE-GGA).

```
BaDyCuSi3
1.0
6.610 -1.305 5.215
4.692 4.398 5.301
-1.712 -1.212 5.640
Ba Cu Dy Si
2 2 2 6
direct
0.250 0.250 0.250
0.750 0.750 0.750
0.838 0.838 0.162
0.162 0.162 0.838
0.263 0.737 0.263
0.737 0.263 0.737
0.836 0.323 0.164
0.677 0.164 0.323
0.659 0.659 0.341
0.341 0.341 0.659
0.323 0.836 0.677
0.164 0.677 0.836
```

density	5.665	g/cm3
magnetic moment	0.00	μB per cell
symmetry	Fmmm, No. 69
energy above the most stable polymorph in this dataset	0.000	eV per formula unit

=====

Entry from OQMD: a relaxed structure of BaDyCuSi3 (PBE-GGA).

```
BaDyCuSi3
1.0
-7.088 0.523 4.455
-3.597 5.520 4.866
-4.547 2.767 -3.001
Ba Cu Dy Si
2 2 2 6
direct
0.247 0.753 0.247
0.753 0.247 0.753
0.669 0.669 0.331
0.331 0.331 0.669
0.250 0.250 0.250
0.750 0.750 0.750
0.838 0.342 0.162
0.828 0.828 0.172
0.658 0.162 0.342
0.342 0.838 0.658
0.172 0.172 0.828
0.162 0.658 0.838
```

density	5.650	g/cm3
magnetic moment	0.00	μB per cell
symmetry	Fmmm, No. 69
energy above the most stable polymorph in this dataset	0.013	eV per formula unit

=====

Entry from OQMD: a relaxed structure of BaErCuS3 (PBE-GGA).

```
BaErCuS3
1.0
8.422 0.000 0.000
0.000 3.999 0.000
-2.520 0.000 8.576
Ba Cu Er S
2 2 2 6
direct
0.703 0.250 0.250
0.297 0.750 0.750
0.417 0.750 0.406
0.583 0.250 0.594
0.177 0.250 0.159
0.823 0.750 0.841
0.391 0.750 0.137
0.954 0.750 0.160
0.288 0.250 0.471
0.712 0.750 0.529
0.046 0.250 0.840
0.609 0.250 0.863
```

density	5.339	g/cm3
magnetic moment	0.00	μB per cell
total energy	-5.45	eV/atom
symmetry	P2_1/m, No. 11